Record 1
The following is a DFT calculation (meta-GGA SCAN) of Co2Re at its PBEsol-relaxed geometry.

```
Co2Re
1.0
4.568 0.000 0.000
-2.284 3.956 0.000
0.000 0.000 14.919
Co Re
16 8
direct
0.000 0.500 0.000
0.000 0.500 0.500
0.164 0.327 0.250
0.164 0.836 0.250
0.327 0.164 0.750
0.333 0.667 0.126
0.333 0.667 0.374
0.500 0.000 0.000
0.500 0.000 0.500
0.500 0.500 0.000
0.500 0.500 0.500
0.667 0.333 0.626
0.667 0.333 0.874
0.673 0.836 0.250
0.836 0.164 0.750
0.836 0.673 0.750
0.000 0.000 0.091
0.000 0.000 0.409
0.000 0.000 0.591
0.000 0.000 0.909
0.333 0.667 0.656
0.333 0.667 0.844
0.667 0.333 0.156
0.667 0.333 0.344
```

ΔE to the lowest computed polymorph (eV/atom): 0.005
Space group: No. 194
Fermi-level density of states (states/eV/atom): 0.799

***

Record 2
The following is a DFT calculation (meta-GGA SCAN) of Be3Ag4P3BrO12 at its PBEsol-relaxed geometry.

```
Be3Ag4P3BrO12
1.0
8.520 0.000 0.000
0.000 8.520 0.000
0.000 0.000 8.520
Be Ag P Br O
6 8 6 2 24
direct
0.000 0.250 0.500
0.000 0.750 0.500
0.250 0.500 0.000
0.500 0.000 0.250
0.500 0.000 0.750
0.750 0.500 0.000
0.171 0.171 0.171
0.171 0.829 0.829
0.329 0.329 0.671
0.329 0.671 0.329
0.671 0.329 0.329
0.671 0.671 0.671
0.829 0.171 0.829
0.829 0.829 0.171
0.000 0.500 0.250
0.000 0.500 0.750
0.250 0.000 0.500
0.500 0.250 0.000
0.500 0.750 0.000
0.750 0.000 0.500
0.000 0.000 0.000
0.500 0.500 0.500
0.053 0.359 0.649
0.053 0.641 0.351
0.141 0.447 0.149
0.141 0.553 0.851
0.149 0.141 0.447
0.149 0.859 0.553
0.351 0.053 0.641
0.351 0.947 0.359
0.359 0.351 0.947
0.359 0.649 0.053
0.447 0.149 0.141
0.447 0.851 0.859
0.553 0.149 0.859
0.553 0.851 0.141
0.641 0.351 0.053
0.641 0.649 0.947
0.649 0.053 0.359
0.649 0.947 0.641
0.851 0.141 0.553
0.851 0.859 0.447
0.859 0.447 0.851
0.859 0.553 0.149
0.947 0.359 0.351
0.947 0.641 0.649
```

Space group: No. 218
Calculated total energy (eV/atom): -13.53
Fermi-level density of states (states/eV/atom): 0.000

***

Record 3
The following is a DFT calculation (meta-GGA SCAN) of CuO at its PBEsol-relaxed geometry.

```
CuO
1.0
3.877 0.000 0.000
0.000 3.877 0.000
0.000 0.000 3.877
Cu O
3 3
direct
0.000 0.000 0.500
0.000 0.500 0.000
0.500 0.000 0.000
0.000 0.500 0.500
0.500 0.000 0.500
0.500 0.500 0.000
```

Space group: No. 221
Calculated total energy (eV/atom): -11.12
Fermi-level density of states (states/eV/atom): 0.535

***

Record 4
The following is a DFT calculation (meta-GGA SCAN) of KNiPb2 at its PBEsol-relaxed geometry.

```
KNiPb2
1.0
3.352 0.000 0.000
0.000 3.352 0.000
0.000 0.000 8.687
K Ni Pb
1 1 2
direct
0.000 0.000 0.000
0.000 0.000 0.500
0.500 0.500 0.319
0.500 0.500 0.681
```

Space group: No. 123
Calculated total energy (eV/atom): -44.01
Fermi-level density of states (states/eV/atom): 0.352

***

Record 5
The following is a DFT calculation (meta-GGA SCAN) of InBr3N at its PBEsol-relaxed geometry.

```
InBr3N
1.0
5.354 0.000 0.000
0.000 5.354 0.000
0.000 0.000 5.354
In Br N
1 3 1
direct
0.000 0.000 0.000
0.000 0.000 0.500
0.000 0.500 0.000
0.500 0.000 0.000
0.500 0.500 0.500
```

Space group: No. 221
Calculated total energy (eV/atom): -19.81
Fermi-level density of states (states/eV/atom): 0.441

***

Record 6
The following is a DFT calculation (meta-GGA SCAN) of TaCd2Cl at its PBEsol-relaxed geometry.

```
TaCd2Cl
1.0
1.575 -2.487 0.000
1.575 2.487 0.000
0.000 0.000 10.697
Ta Cd Cl
1 2 1
direct
0.000 0.000 0.000
0.000 0.000 0.483
0.500 0.500 0.232
0.500 0.500 0.822
```

ΔE to the lowest computed polymorph (eV/atom): 0.000
Space group: No. 35
Fermi-level density of states (states/eV/atom): 0.337

***

Record 7
The following is a DFT calculation (meta-GGA SCAN) of Li3La5Ti8O24 at its PBEsol-relaxed geometry.

```
Li3La5Ti8O24
1.0
7.766 -3.854 0.000
7.766 3.854 0.000
-3.889 0.000 7.689
Li La Ti O
3 5 8 24
direct
0.000 0.000 0.000
0.285 0.285 0.988
0.715 0.715 0.012
0.131 0.131 0.507
0.371 0.371 0.485
0.500 0.500 0.000
0.629 0.629 0.515
0.869 0.869 0.493
0.062 0.571 0.761
0.183 0.689 0.242
0.311 0.817 0.758
0.429 0.938 0.239
0.571 0.062 0.761
0.689 0.183 0.242
0.817 0.311 0.758
0.938 0.429 0.239
0.000 0.500 0.500
0.042 0.042 0.692
0.054 0.575 0.258
0.115 0.681 0.003
0.191 0.191 0.275
0.205 0.656 0.722
0.303 0.697 0.500
0.318 0.318 0.785
0.319 0.885 0.997
0.344 0.795 0.278
0.415 0.415 0.198
0.425 0.946 0.742
0.500 0.000 0.500
0.575 0.054 0.258
0.585 0.585 0.802
0.656 0.205 0.722
0.681 0.115 0.003
0.682 0.682 0.215
0.697 0.303 0.500
0.795 0.344 0.278
0.809 0.809 0.725
0.885 0.319 0.997
0.946 0.425 0.742
0.958 0.958 0.308
```

Space group: No. 12
Calculated total energy (eV/atom): -15.91
Fermi-level density of states (states/eV/atom): 0.191

***

Record 8
The following is a DFT calculation (meta-GGA SCAN) of Tl2PbBr2 at its PBEsol-relaxed geometry.

```
Tl2PbBr2
1.0
-2.485 2.485 6.742
2.485 -2.485 6.742
2.485 2.485 -6.742
Tl Pb Br
2 1 2
direct
0.117 0.117 0.000
0.883 0.883 0.000
0.500 0.500 0.000
0.250 0.750 0.500
0.750 0.250 0.500
```

Space group: No. 139
Calculated total energy (eV/atom): -52.07
Fermi-level density of states (states/eV/atom): 0.697

***

Record 9
The following is a DFT calculation (meta-GGA SCAN) of Be2TeRh at its PBEsol-relaxed geometry.

```
Be2TeRh
1.0
2.920 0.000 0.000
0.000 2.899 0.000
-0.014 0.000 7.182
Be Te Rh
2 1 1
direct
0.001 0.000 0.156
0.999 0.000 0.844
0.000 0.500 0.500
0.500 0.500 0.000
```

Space group: No. 10
Calculated total energy (eV/atom): -20.11
Fermi-level density of states (states/eV/atom): 0.223

***

Record 10
The following is a DFT calculation (meta-GGA SCAN) of HoAgS2 at its PBEsol-relaxed geometry.

```
HoAgS2
1.0
7.506 0.000 0.000
0.000 7.508 0.000
-0.002 0.000 12.180
Ho Ag S
8 8 16
direct
0.003 0.000 0.247
0.248 0.249 0.497
0.252 0.755 0.997
0.497 0.004 0.747
0.503 0.504 0.253
0.748 0.255 0.003
0.752 0.749 0.503
0.997 0.500 0.753
0.044 0.957 0.680
0.203 0.205 0.930
0.296 0.798 0.430
0.456 0.047 0.180
0.544 0.547 0.820
0.704 0.298 0.570
0.797 0.705 0.070
0.956 0.457 0.320
0.024 0.977 0.468
0.027 0.476 0.977
0.224 0.228 0.718
0.226 0.278 0.273
0.275 0.726 0.773
0.276 0.776 0.218
0.473 0.527 0.477
0.476 0.028 0.968
0.524 0.528 0.032
0.527 0.027 0.523
0.724 0.276 0.782
0.725 0.226 0.227
0.774 0.778 0.727
0.776 0.728 0.282
0.973 0.976 0.023
0.976 0.477 0.532
```

Space group: No. 4
Calculated total energy (eV/atom): -26.41
Fermi-level density of states (states/eV/atom): 0.000

***

Record 11
The following is a DFT calculation (meta-GGA SCAN) of Mn2Se3 at its PBEsol-relaxed geometry.

```
Mn2Se3
1.0
1.793 1.035 8.692
-1.793 1.035 8.692
0.000 -2.070 8.692
Mn Se
2 3
direct
0.105 0.105 0.105
0.895 0.895 0.895
0.280 0.280 0.280
0.500 0.500 0.500
0.720 0.720 0.720
```

Space group: No. 166
Calculated total energy (eV/atom): -20.11
Fermi-level density of states (states/eV/atom): 0.228

***

Record 12
The following is a DFT calculation (meta-GGA SCAN) of LaMg2Os at its PBEsol-relaxed geometry.

```
LaMg2Os
1.0
3.157 0.000 0.000
0.000 3.157 0.000
0.000 0.000 8.391
La Mg Os
1 2 1
direct
0.000 0.000 0.000
0.500 0.500 0.318
0.500 0.500 0.682
0.000 0.000 0.500
```

Space group: No. 123
Calculated total energy (eV/atom): -31.04
Fermi-level density of states (states/eV/atom): 1.051

***

Record 13
The following is a DFT calculation (meta-GGA SCAN) of Be2ReHg at its PBEsol-relaxed geometry.

```
Be2ReHg
1.0
1.391 0.803 8.181
-1.391 0.803 8.181
0.000 -1.606 8.181
Be Re Hg
2 1 1
direct
0.242 0.242 0.242
0.758 0.758 0.758
0.500 0.500 0.500
0.000 0.000 0.000
```

Space group: No. 166
Calculated total energy (eV/atom): -36.60
Fermi-level density of states (states/eV/atom): 0.509

***

Record 14
The following is a DFT calculation (meta-GGA SCAN) of Sc2NbGePt at its PBEsol-relaxed geometry.

```
Sc2NbGePt
1.0
4.975 0.000 0.000
0.000 4.975 0.000
0.000 0.000 4.770
Sc Nb Ge Pt
2 1 1 1
direct
0.000 0.500 0.000
0.500 0.000 0.000
0.000 0.000 0.000
0.500 0.500 0.500
0.000 0.000 0.500
```

Space group: No. 123
Calculated total energy (eV/atom): -29.58
Fermi-level density of states (states/eV/atom): 0.565

***

Record 15
The following is a DFT calculation (meta-GGA SCAN) of ScBi3F at its PBEsol-relaxed geometry.

```
ScBi3F
1.0
4.973 0.000 0.000
0.000 4.973 0.000
0.000 0.000 4.973
Sc Bi F
1 3 1
direct
0.000 0.000 0.000
0.000 0.500 0.500
0.500 0.000 0.500
0.500 0.500 0.000
0.500 0.500 0.500
```

Space group: No. 221
Calculated total energy (eV/atom): -51.16
Fermi-level density of states (states/eV/atom): 0.489

***

Record 16
The following is a DFT calculation (meta-GGA SCAN) of InPtAu2 at its PBEsol-relaxed geometry.

```
InPtAu2
1.0
4.065 0.000 0.000
0.000 4.065 0.000
0.000 0.000 4.126
In Pt Au
1 1 2
direct
0.000 0.000 0.000
0.500 0.500 0.000
0.000 0.500 0.500
0.500 0.000 0.500
```

Space group: No. 123
Calculated total energy (eV/atom): -60.68
Fermi-level density of states (states/eV/atom): 0.511

***

Record 17
The following is a DFT calculation (meta-GGA SCAN) of SiTcPt2 at its PBEsol-relaxed geometry.

```
SiTcPt2
1.0
-1.575 2.088 4.281
1.575 -2.088 4.281
1.575 2.088 -4.281
Si Tc Pt
1 1 2
direct
0.000 0.000 0.000
0.500 0.500 0.000
0.218 0.718 0.500
0.782 0.282 0.500
```

Space group: No. 71
Calculated total energy (eV/atom): -46.68
Fermi-level density of states (states/eV/atom): 0.836

***

Record 18
The following is a DFT calculation (meta-GGA SCAN) of Cu2MoIr at its PBEsol-relaxed geometry.

```
Cu2MoIr
1.0
2.634 0.000 0.000
0.000 4.428 0.000
-0.324 0.000 4.613
Cu Mo Ir
2 1 1
direct
0.199 0.000 0.249
0.801 0.000 0.751
0.500 0.500 0.000
0.000 0.500 0.500
```

ΔE to the lowest computed polymorph (eV/atom): 0.127
Space group: No. 10
Fermi-level density of states (states/eV/atom): 0.695

***

Record 19
The following is a DFT calculation (meta-GGA SCAN) of LaMg2Ru at its PBEsol-relaxed geometry.

```
LaMg2Ru
1.0
3.301 0.000 0.000
0.000 4.842 0.000
-1.531 0.000 5.267
La Mg Ru
1 2 1
direct
0.000 0.000 0.000
0.364 0.500 0.710
0.636 0.500 0.290
0.000 0.000 0.500
```

Space group: No. 10
Calculated total energy (eV/atom): -21.98
Fermi-level density of states (states/eV/atom): 0.721

***

Record 20
The following is a DFT calculation (meta-GGA SCAN) of Dy2TeO6 at its PBEsol-relaxed geometry.

```
Dy2TeO6
1.0
5.250 0.000 0.000
0.000 9.034 0.000
0.000 0.000 9.890
Dy Te O
8 4 24
direct
0.022 0.103 0.463
0.040 0.218 0.867
0.460 0.782 0.367
0.478 0.897 0.963
0.522 0.397 0.537
0.540 0.282 0.133
0.960 0.718 0.633
0.978 0.603 0.037
0.040 0.495 0.351
0.460 0.505 0.851
0.540 0.005 0.649
0.960 0.995 0.149
0.082 0.844 0.027
0.169 0.948 0.300
0.178 0.641 0.821
0.187 0.642 0.236
0.233 0.114 0.068
0.247 0.588 0.494
0.253 0.412 0.994
0.267 0.886 0.568
0.313 0.358 0.736
0.322 0.359 0.321
0.331 0.052 0.800
0.418 0.156 0.527
0.582 0.656 0.973
0.669 0.552 0.700
0.678 0.859 0.179
0.687 0.858 0.764
0.733 0.386 0.932
0.747 0.912 0.506
0.753 0.088 0.006
0.767 0.614 0.432
0.813 0.142 0.264
0.822 0.141 0.679
0.831 0.448 0.200
0.918 0.344 0.473
```

ΔE to the lowest computed polymorph (eV/atom): 0.000
Space group: No. 19
Fermi-level density of states (states/eV/atom): 0.000